Record 1
This record from the Alexandria database describes a relaxed structure of Tb4DyMg. The functional is GGA-PBE.

## Properties
Energy of formation: -0.0157 eV per atom
Symmetry: P4/mmm (123)
ΔE to the lowest computed polymorph: 0 meV/atom
Crystal system: tetragonal

Unit cell a=3.5670 b=3.5670 c=14.3619 alpha=90.00 beta=90.00 gamma=90.00
Last column: nearest neighbours and their distance in Å.
Atoms (fractional coordinates):
Tb 0.5000 0.5000 0.1749  8 Tb 3.53-3.57, 4 Dy 3.56
Tb 0.0000 0.0000 0.3468  4 Mg 3.35, 8 Tb 3.53-3.57
Tb 0.5000 0.5000 0.8251  8 Tb 3.53-3.57, 4 Dy 3.56
Tb 0.0000 0.0000 0.6532  4 Mg 3.35, 8 Tb 3.53-3.57
Dy 0.0000 0.0000 0.0000  8 Tb 3.56, 4 Dy 3.57
Mg 0.5000 0.5000 0.5000  8 Tb 3.35, 4 Mg 3.57

=====

Record 2
This record from the Alexandria database describes a relaxed structure of Pr8Ho6In. The functional is GGA-PBE.

## Properties
Energy of formation: 0.0756 eV per atom
Symmetry: P-3 (147)
Crystal system: trigonal

Unit cell a=6.6294 b=9.3637 c=9.3637 alpha=120.00 beta=90.00 gamma=90.00
Last column: nearest neighbours and their distance in Å.
Atoms (fractional coordinates):
Pr 0.1776 0.9573 0.7247  1 In 3.22, 3 Pr 3.31-3.36, 2 Ho 3.34-3.49
Pr 0.1776 0.2753 0.2326  1 In 3.22, 3 Pr 3.31-3.36, 2 Ho 3.34-3.49
Pr 0.8630 0.3333 0.6667  3 Pr 3.31
Pr 0.8224 0.7247 0.7674  1 In 3.22, 3 Pr 3.31-3.36, 2 Ho 3.34-3.49
Pr 0.8224 0.0427 0.2753  1 In 3.22, 3 Pr 3.31-3.36, 2 Ho 3.34-3.49
Pr 0.1776 0.7674 0.0427  1 In 3.22, 3 Pr 3.31-3.36, 2 Ho 3.34-3.49
Pr 0.8224 0.2326 0.9573  1 In 3.22, 3 Pr 3.31-3.36, 2 Ho 3.34-3.49
Pr 0.1370 0.6667 0.3333  3 Pr 3.31
Ho 0.3400 0.0990 0.4457  1 Ho 3.29, 4 Pr 3.34-3.65
Ho 0.3400 0.3467 0.9010  1 Ho 3.29, 4 Pr 3.34-3.65
Ho 0.3400 0.5543 0.6533  1 Ho 3.29, 4 Pr 3.34-3.65
Ho 0.6600 0.9010 0.5543  1 Ho 3.29, 4 Pr 3.34-3.65
Ho 0.6600 0.4457 0.3467  1 Ho 3.29, 4 Pr 3.34-3.65
Ho 0.6600 0.6533 0.0990  1 Ho 3.29, 4 Pr 3.34-3.65
In 0.5000 0.0000 0.0000  6 Pr 3.22

=====

Record 3
This record from the Alexandria database describes a relaxed structure of Np2Co2H7. The functional is GGA-PBE.

## Properties
Symmetry: Cmmm (65)
Energy: -5.86 eV per atom
Crystal system: orthorhombic

Unit cell a=3.2440 b=5.5287 c=5.5329 alpha=111.38 beta=90.03 gamma=89.98
Last column: nearest neighbours and their distance in Å.
Atoms (fractional coordinates):
H 0.5000 0.6842 0.6839  2 Co 1.65
H 0.0000 0.0000 0.0000  2 Co 1.68
H 0.0002 0.4371 0.0989  1 H 1.50, 1 Co 1.55
H 0.9998 0.5629 0.9011  1 H 1.50, 1 Co 1.55
H 0.0003 0.9006 0.5623  1 H 1.50, 1 Co 1.55
H 0.9997 0.0994 0.4377  1 H 1.50, 1 Co 1.55
H 0.5000 0.3158 0.3161  2 Co 1.65
Np 0.4998 0.2430 0.7570  8 H 2.31-2.43
Np 0.5002 0.7570 0.2430  8 H 2.31-2.43
Co 0.9999 0.2700 0.2700  5 H 1.55-1.68
Co 0.0001 0.7300 0.7300  5 H 1.55-1.68

=====

Record 4
This record from the Alexandria database describes a relaxed structure of ZnCdTeP. The functional is GGA-PBE.

## Properties
Symmetry: P1 (1)
ΔE to the lowest computed polymorph: 292 meV/atom
Crystal system: triclinic
E_form (uncorrected): 0.18 eV per atom

Unit cell a=3.0885 b=4.3852 c=7.6236 alpha=83.38 beta=79.76 gamma=70.63
Last column: nearest neighbours and their distance in Å.
Atoms (fractional coordinates):
Cd 0.0878 0.9850 0.7231  3 P 2.67-2.69, 2 Zn 2.73-2.76
Te 0.7151 0.1852 0.2249  1 Zn 2.68, 1 P 2.72
P 0.4460 0.4335 0.5529  3 Cd 2.67-2.69, 1 Te 2.72
Zn 0.6131 0.7001 0.9915  1 Te 2.68, 2 Cd 2.73-2.76

=====

Record 5
This record from the Alexandria database describes a relaxed structure of LaMg4Ir2. The functional is GGA-PBE.

## Properties
Energy of formation: -0.4215 eV per atom
Symmetry: P4_2/mnm (136)
Crystal system: tetragonal

Unit cell a=4.1037 b=8.4004 c=8.4004 alpha=90.00 beta=90.00 gamma=90.00
Last column: nearest neighbours and their distance in Å.
Atoms (fractional coordinates):
Mg 0.5000 0.4014 0.8375  3 Ir 2.71-2.73, 1 Mg 2.84
Mg 0.5000 0.8375 0.4014  3 Ir 2.71-2.73, 1 Mg 2.84
Mg 0.5000 0.5986 0.1625  3 Ir 2.71-2.73, 1 Mg 2.84
Mg 0.5000 0.1625 0.5986  3 Ir 2.71-2.73, 1 Mg 2.84
Mg 0.0000 0.3375 0.0986  3 Ir 2.71-2.73, 1 Mg 2.84
Mg 0.0000 0.0986 0.3375  3 Ir 2.71-2.73, 1 Mg 2.84
Mg 0.0000 0.9014 0.6625  3 Ir 2.71-2.73, 1 Mg 2.84
Mg 0.0000 0.6625 0.9014  3 Ir 2.71-2.73, 1 Mg 2.84
Ir 0.0000 0.8082 0.1918  6 Mg 2.71-2.73
Ir 0.0000 0.1918 0.8082  6 Mg 2.71-2.73
Ir 0.5000 0.3082 0.3082  6 Mg 2.71-2.73
Ir 0.5000 0.6918 0.6918  6 Mg 2.71-2.73
La 0.5000 0.0000 0.0000  4 Ir 3.07
La 0.0000 0.5000 0.5000  4 Ir 3.07

=====

Record 6
This record from the Alexandria database describes a relaxed structure of CdFe3. The functional is GGA-PBE.

## Properties
Energy of formation: 0.2645 eV per atom
Symmetry: Cmmm (65)
Crystal system: orthorhombic

Unit cell a=2.6452 b=2.6452 c=8.3503 alpha=90.00 beta=90.00 gamma=107.22
Last column: nearest neighbours and their distance in Å.
Atoms (fractional coordinates):
Fe 0.0000 0.0000 0.5000  8 Fe 2.43-2.65
Fe 0.5000 0.5000 0.2780  6 Fe 2.43-2.65
Fe 0.5000 0.5000 0.7220  6 Fe 2.43-2.65
Cd 0.0000 0.0000 0.0000  4 Cd 2.65, 4 Fe 2.80

=====

Record 7
This record from the Alexandria database describes a relaxed structure of TcHgRh2. The functional is GGA-PBE.

## Properties
Energy of formation: 0.0950 eV per atom
Symmetry: R-3m (166)
Crystal system: trigonal

Unit cell a=9.2795 b=9.2795 c=9.2795 alpha=17.55 beta=17.55 gamma=17.55
Last column: nearest neighbours and their distance in Å.
Atoms (fractional coordinates):
Rh 0.9930 0.9930 0.9930  3 Tc 2.65, 6 Rh 2.83, 3 Hg 2.97
Rh 0.5070 0.5070 0.5070  3 Tc 2.65, 6 Rh 2.83, 3 Hg 2.97
Tc 0.2500 0.2500 0.2500  6 Rh 2.65, 6 Tc 2.83
Hg 0.7500 0.7500 0.7500  6 Hg 2.83, 6 Rh 2.97

=====

Record 8
This record from the Alexandria database describes a relaxed structure of Ac6In3Hg. The functional is GGA-PBE.

## Properties
Energy of formation: -0.3164 eV per atom
Symmetry: P2_1/m (11)
ΔE to the lowest computed polymorph: 0 meV/atom
Crystal system: monoclinic

Unit cell a=5.7919 b=10.2105 c=12.8476 alpha=107.79 beta=90.00 gamma=90.00
Last column: nearest neighbours and their distance in Å.
Atoms (fractional coordinates):
In 0.7500 0.4684 0.6200  8 Ac 3.43-3.67
In 0.2500 0.3783 0.7826  7 Ac 3.36-3.68
In 0.7500 0.2250 0.0298  10 Ac 3.52-3.91
In 0.2500 0.5316 0.3800  8 Ac 3.43-3.67
In 0.7500 0.6217 0.2174  7 Ac 3.36-3.68
In 0.2500 0.7750 0.9702  10 Ac 3.52-3.91
Ac 0.7500 0.3436 0.3256  5 In 3.43-3.62, 1 Hg 3.43
Ac 0.7500 0.5277 0.9083  6 In 3.44-3.79, 1 Ac 3.81
Ac 0.2500 0.1044 0.8752  3 In 3.36-3.52, 1 Hg 3.37, 3 Ac 3.50-3.70
Ac 0.7500 0.7472 0.4972  4 In 3.43-3.67, 3 Hg 3.60-3.65
Ac 0.2500 0.1295 0.1528  6 Ac 3.50-3.89, 3 In 3.57-3.66
Ac 0.2500 0.8467 0.3199  3 Hg 3.46-3.50, 3 In 3.53-3.68
Ac 0.2500 0.2528 0.5028  4 In 3.43-3.67, 3 Hg 3.60-3.65
Ac 0.7500 0.8705 0.8472  6 Ac 3.50-3.89, 3 In 3.57-3.66
Ac 0.7500 0.1533 0.6801  3 Hg 3.46-3.50, 3 In 3.53-3.68
Ac 0.7500 0.8956 0.1248  3 In 3.36-3.52, 1 Hg 3.37, 3 Ac 3.50-3.70
Ac 0.2500 0.6564 0.6744  5 In 3.43-3.62, 1 Hg 3.43
Ac 0.2500 0.4723 0.0917  6 In 3.44-3.79, 1 Ac 3.81
Hg 0.2500 0.9540 0.6026  8 Ac 3.37-3.65
Hg 0.7500 0.0460 0.3974  8 Ac 3.37-3.65

=====

Record 9
This record from the Alexandria database describes a relaxed structure of TmPuSb2. The functional is GGA-PBE.

## Properties
Symmetry: R3m (160)
ΔE to the lowest computed polymorph: 107 meV/atom
Crystal system: trigonal
E_form (uncorrected): -0.72 eV per atom

Unit cell a=4.3840 b=4.3840 c=7.7210 alpha=73.51 beta=73.51 gamma=60.00
Last column: nearest neighbours and their distance in Å.
Atoms (fractional coordinates):
Sb 0.0831 0.0831 0.7507  3 Pu 3.09, 3 Tm 3.10
Sb 0.2501 0.2501 0.2497  3 Pu 3.15, 3 Tm 3.15
Tm 0.4980 0.4980 0.5061  6 Sb 3.10-3.15
Pu 0.6688 0.6688 0.9935  6 Sb 3.09-3.15

=====

Record 10
This record from the Alexandria database describes a relaxed structure of LiPPb2. The functional is GGA-PBE.

## Properties
Energy of formation: -0.0439 eV per atom
Symmetry: Pmmn (59)
Crystal system: orthorhombic

Unit cell a=4.7358 b=3.9460 c=22.5157 alpha=90.00 beta=90.00 gamma=90.00
Last column: nearest neighbours and their distance in Å.
Atoms (fractional coordinates):
Pb 0.7466 0.7500 0.5499  3 P 2.83-3.13
Pb 0.2534 0.2500 0.0499  3 P 2.83-3.13
Pb 0.2586 0.7500 0.3195  1 P 2.82, 2 Li 3.12, 1 Pb 3.13
Pb 0.7466 0.7500 0.9501  3 P 2.83-3.13
Pb 0.7414 0.2500 0.6805  1 P 2.82, 2 Li 3.12, 1 Pb 3.13
Pb 0.7414 0.2500 0.8195  1 P 2.82, 2 Li 3.12, 1 Pb 3.13
Pb 0.2586 0.7500 0.1805  1 P 2.82, 2 Li 3.12, 1 Pb 3.13
Pb 0.2534 0.2500 0.4501  3 P 2.83-3.13
P 0.1375 0.2500 0.5871  2 Li 2.54, 3 Pb 2.82-2.83
P 0.1375 0.2500 0.9129  2 Li 2.54, 3 Pb 2.82-2.83
P 0.8625 0.7500 0.4129  2 Li 2.54, 3 Pb 2.82-2.83
P 0.8625 0.7500 0.0871  2 Li 2.54, 3 Pb 2.82-2.83
Li 0.7524 0.2500 0.1541  2 P 2.54
Li 0.2476 0.7500 0.6541  2 P 2.54
Li 0.2476 0.7500 0.8459  2 P 2.54
Li 0.7524 0.2500 0.3459  2 P 2.54

=====

Number 1: size of the total moment 0.0 μB/cell. Number 2: size of the total moment 0.0 μB/cell. Number 3: size of the total moment 10.0 μB/cell. Number 4: size of the total moment 0.0 μB/cell. Number 5: size of the total moment 0.0 μB/cell. Number 6: size of the total moment 7.5 μB/cell. Number 7: size of the total moment 0.0 μB/cell. Number 8: size of the total moment 0.0 μB/cell. Number 9: size of the total moment 5.1 μB/cell. Number 10: size of the total moment 0.0 μB/cell.